No. 1
Computed, not measured: an optimized crystal structure of AlFeBiP2 at the PBE level of DFT.

Cell: 5.325 5.325 4.955 Å, 90.00 90.00 90.00°
Element x y z (fractional)
Al 0.000 0.000 0.000
Fe 0.500 0.500 0.000
Bi 0.500 0.500 0.500
P 0.000 0.500 0.500
P 0.500 0.000 0.500

Output
size of the total moment = 3.497 μB per formula unit
symmetry = P4/mmm (123)
raw total energy = -0.143 hartree per atom

***

No. 2
Computed, not measured: an optimized crystal structure of AlFe2BiPt at the PBE level of DFT.

Cell: 4.535 4.535 4.638 Å, 90.00 90.00 90.00°
Element x y z (fractional)
Al 0.000 0.000 0.000
Fe 0.000 0.500 0.000
Fe 0.500 0.000 0.000
Bi 0.500 0.500 0.500
Pt 0.000 0.000 0.500

Output
size of the total moment = 5.196 μB per formula unit
symmetry = P4/mmm (123)
raw total energy = -0.204 hartree per atom

***

No. 3
Computed, not measured: an optimized crystal structure of AlFe2BiS at the PBE level of DFT.

Cell: 5.001 5.001 5.486 Å, 90.00 90.00 90.00°
Element x y z (fractional)
Al 0.000 0.000 0.000
Fe 0.000 0.500 0.500
Fe 0.500 0.000 0.500
Bi 0.000 0.000 0.500
S 0.500 0.500 0.000

Output
size of the total moment = 6.780 μB per formula unit
symmetry = P4/mmm (123)
formation energy without anion corrections = 133.04 kJ per mole of atoms

***

No. 4
Computed, not measured: an optimized crystal structure of AlFeBi2W at the PBE level of DFT.

Cell: 5.055 5.055 4.507 Å, 90.00 90.00 90.00°
Element x y z (fractional)
Al 0.000 0.000 0.000
Fe 0.000 0.000 0.500
Bi 0.000 0.500 0.500
Bi 0.500 0.000 0.500
W 0.500 0.500 0.000

Output
size of the total moment = 2.693 μB per formula unit
symmetry = P4/mmm (123)
raw total energy = -0.196 hartree per atom

***

No. 5
Computed, not measured: an optimized crystal structure of Al5Ga12Bi3 at the PBE level of DFT.

Cell: 13.907 13.907 13.907 Å, 109.47 109.47 109.47°
Element x y z (fractional)
Al 0.000 0.000 0.000
Al 0.000 0.000 0.500
Al 0.000 0.500 0.000
Al 0.000 0.500 0.500
Al 0.125 0.750 0.875
Al 0.125 0.875 0.250
Al 0.250 0.125 0.875
Al 0.250 0.625 0.375
Al 0.375 0.250 0.625
Al 0.375 0.625 0.750
Al 0.500 0.000 0.000
Al 0.500 0.000 0.500
Al 0.500 0.500 0.000
Al 0.500 0.500 0.500
Al 0.625 0.375 0.250
Al 0.625 0.750 0.375
Al 0.750 0.375 0.625
Al 0.750 0.875 0.125
Al 0.875 0.125 0.750
Al 0.875 0.250 0.125
Ga 0.043 0.213 0.120
Ga 0.043 0.330 0.923
Ga 0.077 0.620 0.407
Ga 0.077 0.957 0.670
Ga 0.093 0.713 0.670
Ga 0.093 0.880 0.423
Ga 0.120 0.043 0.213
Ga 0.120 0.577 0.907
Ga 0.170 0.213 0.593
Ga 0.170 0.457 0.577
Ga 0.213 0.120 0.043
Ga 0.213 0.593 0.170
Ga 0.287 0.330 0.907
Ga 0.287 0.457 0.380
Ga 0.330 0.907 0.287
Ga 0.330 0.923 0.043
Ga 0.380 0.287 0.457
Ga 0.380 0.593 0.923
Ga 0.407 0.077 0.620
Ga 0.407 0.830 0.787
Ga 0.423 0.093 0.880
Ga 0.423 0.830 0.543
Ga 0.457 0.380 0.287
Ga 0.457 0.577 0.170
Ga 0.543 0.423 0.830
Ga 0.543 0.620 0.713
Ga 0.577 0.170 0.457
Ga 0.577 0.907 0.120
Ga 0.593 0.170 0.213
Ga 0.593 0.923 0.380
Ga 0.620 0.407 0.077
Ga 0.620 0.713 0.543
Ga 0.670 0.077 0.957
Ga 0.670 0.093 0.713
Ga 0.713 0.543 0.620
Ga 0.713 0.670 0.093
Ga 0.787 0.407 0.830
Ga 0.787 0.880 0.957
Ga 0.830 0.543 0.423
Ga 0.830 0.787 0.407
Ga 0.880 0.423 0.093
Ga 0.880 0.957 0.787
Ga 0.907 0.120 0.577
Ga 0.907 0.287 0.330
Ga 0.923 0.043 0.330
Ga 0.923 0.380 0.593
Ga 0.957 0.670 0.077
Ga 0.957 0.787 0.880
Bi 0.125 0.250 0.375
Bi 0.125 0.375 0.750
Bi 0.250 0.375 0.125
Bi 0.250 0.875 0.625
Bi 0.375 0.125 0.250
Bi 0.375 0.750 0.125
Bi 0.625 0.250 0.875
Bi 0.625 0.875 0.750
Bi 0.750 0.125 0.375
Bi 0.750 0.625 0.875
Bi 0.875 0.625 0.250
Bi 0.875 0.750 0.625

Output
size of the total moment = 0.000 μB per formula unit
symmetry = Ia-3d (230)
raw total energy = -0.114 hartree per atom

***

No. 6
Computed, not measured: an optimized crystal structure of Al2GaBi2 at the PBE level of DFT.

Cell: 7.971 7.971 3.920 Å, 90.00 90.00 90.00°
Element x y z (fractional)
Al 0.126 0.374 0.000
Al 0.374 0.874 0.000
Al 0.626 0.126 0.000
Al 0.874 0.626 0.000
Ga 0.000 0.000 0.000
Ga 0.500 0.500 0.000
Bi 0.172 0.672 0.500
Bi 0.328 0.172 0.500
Bi 0.672 0.828 0.500
Bi 0.828 0.328 0.500

Output
energy above the most stable polymorph in this dataset = 11 meV per atom
size of the total moment = 0.000 μB per formula unit
symmetry = P4/mbm (127)

***

No. 7
Computed, not measured: an optimized crystal structure of Al4GaBi at the PBE level of DFT.

Cell: 5.579 5.579 5.579 Å, 60.00 60.00 60.00°
Element x y z (fractional)
Al 0.376 0.376 0.376
Al 0.376 0.376 0.872
Al 0.376 0.872 0.376
Al 0.872 0.376 0.376
Ga 0.750 0.750 0.750
Bi 0.000 0.000 0.000

Output
size of the total moment = 0.000 μB per formula unit
symmetry = F-43m (216)
raw total energy = -0.127 hartree per atom

***

No. 8
Computed, not measured: an optimized crystal structure of AlGa2Bi at the PBE level of DFT.

Cell: 3.653 3.653 6.582 Å, 90.00 90.00 90.00°
Element x y z (fractional)
Al 0.000 0.000 0.000
Ga 0.500 0.500 0.208
Ga 0.500 0.500 0.792
Bi 0.000 0.000 0.500

Output
energy above the most stable polymorph in this dataset = 1 meV per atom
size of the total moment = 0.000 μB per formula unit
symmetry = P4/mmm (123)

***

No. 9
Computed, not measured: an optimized crystal structure of AlGa2Bi at the PBE level of DFT.

Cell: 4.416 4.416 4.731 Å, 90.00 90.00 90.00°
Element x y z (fractional)
Al 0.000 0.000 0.000
Ga 0.000 0.500 0.500
Ga 0.500 0.000 0.500
Bi 0.500 0.500 0.000

Output
energy above the most stable polymorph in this dataset = 44 meV per atom
size of the total moment = 0.000 μB per formula unit
symmetry = P4/mmm (123)

***

No. 10
Computed, not measured: an optimized crystal structure of AlGa2Bi at the PBE level of DFT.

Cell: 4.234 4.234 17.851 Å, 90.00 90.00 120.00°
Element x y z (fractional)
Al 0.000 0.000 0.000
Al 0.333 0.667 0.667
Al 0.667 0.333 0.333
Ga 0.000 0.000 0.269
Ga 0.000 0.000 0.731
Ga 0.333 0.667 0.397
Ga 0.333 0.667 0.936
Ga 0.667 0.333 0.064
Ga 0.667 0.333 0.603
Bi 0.000 0.000 0.500
Bi 0.333 0.667 0.167
Bi 0.667 0.333 0.833

Output
energy above the most stable polymorph in this dataset = 29 meV per atom
size of the total moment = 0.000 μB per formula unit
symmetry = R-3m (166)

***

No. 11
Computed, not measured: an optimized crystal structure of Al2GaBi at the PBE level of DFT.

Cell: 3.417 3.417 7.418 Å, 90.00 90.00 90.00°
Element x y z (fractional)
Al 0.000 0.000 0.204
Al 0.000 0.000 0.796
Ga 0.500 0.500 0.000
Bi 0.500 0.500 0.500

Output
energy above the most stable polymorph in this dataset = 27 meV per atom
size of the total moment = 0.000 μB per formula unit
symmetry = P4/mmm (123)

***

No. 12
Computed, not measured: an optimized crystal structure of AlGaBi3 at the PBE level of DFT.

Cell: 5.504 5.504 5.504 Å, 90.00 90.00 90.00°
Element x y z (fractional)
Al 0.000 0.000 0.000
Ga 0.500 0.500 0.500
Bi 0.000 0.000 0.500
Bi 0.000 0.500 0.000
Bi 0.500 0.000 0.000

Output
energy above the most stable polymorph in this dataset = 0 meV per atom
size of the total moment = 0.000 μB per formula unit
symmetry = Pm-3m (221)